First-principles (PBE) data for a relaxed structure of LaZn2GeAu2, as listed in the Alexandria database.

## Properties
Energy of formation from the pure elements = -0.203 eV/atom
Total moment = 0.00 μB per formula unit

Cell lengths 4.7203, 4.7203, 5.9408 Å; angles 90.00, 90.00, 90.00 degrees
Closest atoms and distances in Å follow each position.
Space group P4/mmm (No. 123)
One atom of each set of equivalent atoms:
La 0.0000 0.0000 0.0000  2 Ge 2.97
Zn 0.0000 0.5000 0.5000  2 Ge 2.36
Ge 0.0000 0.0000 0.5000  4 Zn 2.36
Au 0.5000 0.5000 0.2336  1 Au 2.78, 4 Zn 2.84

First-principles (PBE) data for a relaxed structure of LaZnGeAu2, as listed in the Alexandria database.

## Properties
Energy of formation from the pure elements = 0.786 eV/atom
Total moment = 1.27 μB per formula unit

Cell lengths 5.5373, 5.5373, 5.7357 Å; angles 90.00, 90.00, 90.00 degrees
Closest atoms and distances in Å follow each position.
Space group P4/mmm (No. 123)
One atom of each set of equivalent atoms:
La 0.0000 0.0000 0.0000  4 Au 2.77, 2 Zn 2.87
Zn 0.0000 0.0000 0.5000  2 La 2.87
Ge 0.5000 0.5000 0.5000  4 Zn 3.92, 8 Au 3.99
Au 0.0000 0.5000 0.0000  2 La 2.77

First-principles (PBE) data for a relaxed structure of La2ZnGeAu6, as listed in the Alexandria database.

## Properties
Energy of formation from the pure elements = -0.486 eV/atom
Total moment = 0.00 μB per formula unit

Cell lengths 5.4871, 6.9999, 7.0198 Å; angles 81.20, 67.02, 67.02 degrees
Closest atoms and distances in Å follow each position.
Space group P-1 (No. 2)
One atom of each set of equivalent atoms:
La 0.2412 0.2821 0.2376  7 Au 3.19-3.34, 2 Ge 3.51-3.53
Zn 0.0000 0.0000 0.0000  6 Au 2.63-2.67
Ge 0.5000 0.5000 0.5000  6 Au 2.71-2.72
Au 0.2210 0.2732 0.7851  1 Zn 2.63, 1 Ge 2.72, 2 Au 2.73-2.75
Au 0.2464 0.9090 0.5967  1 Zn 2.67, 1 Ge 2.71, 2 Au 2.97-2.98
Au 0.2797 0.7283 0.2150  1 Zn 2.63, 1 Ge 2.72, 2 Au 2.73-2.75